# RbBiP2S

A relaxed RbBiP2S crystal (PBE, the Alexandria database).

Computed properties:
E above lowest polymorph: 1198 meV/atom
SG: P4/mmm
Fermi-level density of states: 5.58 states/eV/f.u.

a = 5.339 Å, b = 5.339 Å, c = 5.371 Å
α = 90.00°, β = 90.00°, γ = 90.00°
Element x y z (fractional)
1 Rb 0.000 0.000 0.000
2 P 0.500 0.000 0.000
3 P 0.000 0.500 0.000
4 Bi 0.500 0.500 0.500
5 S 0.000 0.000 0.500

---

# SrIn4Ag8

A relaxed SrIn4Ag8 crystal (PBE, the Alexandria database).

Computed properties:
ΔE_f: -0.07 eV/atom
SG: I4/mmm
Fermi-level density of states: 5.63 states/eV/f.u.

a = 5.852 Å, b = 7.518 Å, c = 7.518 Å
α = 81.29°, β = 67.10°, γ = 67.10°
Element x y z (fractional)
1 In 0.000 0.500 0.000
2 In 0.500 0.500 0.000
3 In 0.000 0.000 0.500
4 In 0.500 0.000 0.500
5 Sr 0.000 0.000 0.000
6 Ag 0.284 0.216 0.216
7 Ag 0.716 0.784 0.784
8 Ag 0.000 0.352 0.648
9 Ag 0.352 0.648 0.648
10 Ag 0.500 0.216 0.784
11 Ag 0.000 0.648 0.352
12 Ag 0.500 0.784 0.216
13 Ag 0.648 0.352 0.352

---

# TiSiPt2

A relaxed TiSiPt2 crystal (PBE, the Alexandria database).

Computed properties:
SG: I-42d
Fermi-level density of states: 1.64 states/eV/f.u.

a = 5.537 Å, b = 5.537 Å, c = 6.811 Å
α = 66.02°, β = 66.02°, γ = 90.00°
Element x y z (fractional)
1 Si 0.500 0.500 0.000
2 Si 0.250 0.750 0.500
3 Ti 0.000 0.000 0.000
4 Ti 0.750 0.250 0.500
5 Pt 0.599 0.125 0.250
6 Pt 0.151 0.625 0.250
7 Pt 0.875 0.849 0.750
8 Pt 0.375 0.401 0.750

---

# MoP3

A relaxed MoP3 crystal (PBE, the Alexandria database).

Computed properties:
ΔE_f: 0.22 eV/atom
E above lowest polymorph: 469 meV/atom
SG: Pmmn
Fermi-level density of states: 2.60 states/eV/f.u.

a = 4.351 Å, b = 4.597 Å, c = 5.726 Å
α = 90.00°, β = 90.00°, γ = 90.00°
Element x y z (fractional)
1 P 0.500 0.394 0.000
2 P 0.500 0.808 0.245
3 P 0.000 0.192 0.745
4 P 0.500 0.808 0.755
5 P 0.000 0.606 0.500
6 P 0.000 0.192 0.255
7 Mo 0.500 0.291 0.500
8 Mo 0.000 0.709 0.000

---

# Ba2IrF6

A relaxed Ba2IrF6 crystal (PBE, the Alexandria database).

Computed properties:
SG: P2_1/c

a = 5.531 Å, b = 7.198 Å, c = 8.174 Å
α = 90.00°, β = 97.97°, γ = 90.00°
Element x y z (fractional)
1 F 0.406 0.771 0.055
2 F 0.926 0.963 0.248
3 F 0.074 0.037 0.752
4 F 0.141 0.319 0.059
5 F 0.641 0.181 0.559
6 F 0.094 0.271 0.445
7 F 0.594 0.229 0.945
8 F 0.859 0.681 0.941
9 F 0.426 0.537 0.748
10 F 0.574 0.463 0.252
11 F 0.906 0.729 0.555
12 F 0.359 0.819 0.441
13 Ba 0.449 0.096 0.247
14 Ba 0.051 0.596 0.253
15 Ba 0.949 0.404 0.747
16 Ba 0.551 0.904 0.753
17 Ir 0.000 0.000 0.500
18 Ir 0.500 0.500 0.000

---

# OsAuO3

A relaxed OsAuO3 crystal (PBE, the Alexandria database).

Computed properties:
SG: Pm-3m
Fermi-level density of states: 3.51 states/eV/f.u.

a = 4.045 Å, b = 4.045 Å, c = 4.045 Å
α = 90.00°, β = 90.00°, γ = 90.00°
Element x y z (fractional)
1 O 0.500 0.000 0.000
2 O 0.000 0.000 0.500
3 O 0.000 0.500 0.000
4 Os 0.500 0.500 0.500
5 Au 0.000 0.000 0.000

---

Going through the records in order, we get total energy values of -2.2969; -2.7967; -6.6787; -6.5407; -5.4062; -4.5822 eV per atom.